Compound: CeNdSe2
Source: the Alexandria database
Functional: GGA-PBE
Structure: optimized geometry

Results
- Magnetization: 1.1 μB/f.u.
- Fermi-level density of states: 1.6958 states/eV/atom
- DFT total energy: -6.252 eV per atom
- Calculated volume: 106.1 Å³/f.u.
- Formation energy without anion corrections: -1834 meV/atom
- Mass density: 6.92 g/cm³

```
data_CeNdSe2
_symmetry_space_group_name_H-M 'I 41/a m d'
_symmetry_Int_Tables_number 141
_cell_length_a 5.965
_cell_length_b 5.965
_cell_length_c 11.931
_cell_angle_alpha 90.00
_cell_angle_beta 90.00
_cell_angle_gamma 90.00
loop_
_symmetry_equiv_pos_as_xyz
'x,y,z'
'-x,-y,-z'
'-y+1/4,x+3/4,z+1/4'
'y+1/4,-x+3/4,-z+1/4'
'-x+1/2,-y,z+1/2'
'x+1/2,y,-z+1/2'
'y+1/4,-x+1/4,z+3/4'
'-y+1/4,x+1/4,-z+3/4'
'x,-y,-z'
'-x,y,z'
'-y+1/4,-x+1/4,-z+3/4'
'y+1/4,x+1/4,z+3/4'
'-x+1/2,y,-z+1/2'
'x+1/2,-y,z+1/2'
'y+1/4,x+3/4,-z+1/4'
'-y+1/4,-x+3/4,z+1/4'
'x+1/2,y+1/2,z+1/2'
'-x+1/2,-y+1/2,-z+1/2'
'-y+3/4,x+1/4,z+3/4'
'y+3/4,-x+1/4,-z+3/4'
'-x,-y+1/2,z'
'x,y+1/2,-z'
'y+3/4,-x+3/4,z+1/4'
'-y+3/4,x+3/4,-z+1/4'
'x+1/2,-y+1/2,-z+1/2'
'-x+1/2,y+1/2,z+1/2'
'-y+3/4,-x+3/4,-z+1/4'
'y+3/4,x+3/4,z+1/4'
'-x,y+1/2,-z'
'x,-y+1/2,z'
'y+3/4,x+1/4,-z+3/4'
'-y+3/4,-x+1/4,z+3/4'
loop_
_atom_site_label
_atom_site_type_symbol
_atom_site_fract_x
_atom_site_fract_y
_atom_site_fract_z
Ce1 Ce 0.000 0.250 0.375
Nd1 Nd 0.000 0.250 0.875
Se1 Se 0.000 0.250 0.126
```


Compound: NaV3H
Source: the Alexandria database
Functional: GGA-PBE
Structure: optimized geometry

Results
- Magnetization: 1.1 μB/f.u.
- Fermi-level density of states: 1.4702 states/eV/atom
- DFT total energy: -5.707 eV per atom
- Calculated volume: 63.2 Å³/f.u.
- Mass density: 4.64 g/cm³

```
data_NaV3H
_symmetry_space_group_name_H-M 'P m -3 m'
_symmetry_Int_Tables_number 221
_symmetry_space_group_name_Hall '-P 4 2 3'
_cell_length_a 3.984
_cell_length_b 3.984
_cell_length_c 3.984
_cell_angle_alpha 90.00
_cell_angle_beta 90.00
_cell_angle_gamma 90.00
loop_
_atom_site_label
_atom_site_type_symbol
_atom_site_fract_x
_atom_site_fract_y
_atom_site_fract_z
Na1 Na 0.000 0.000 0.000
V1 V 0.000 0.500 0.500
H1 H 0.500 0.500 0.500
```


Compound: TmPa3P4
Source: the Alexandria database
Functional: GGA-PBE
Structure: optimized geometry

Results
- Magnetization: 0.0 μB/f.u.
- Fermi-level density of states: 1.0924 states/eV/atom
- DFT total energy: -8.207 eV per atom
- Calculated volume: 175.6 Å³/f.u.
- Energy of formation from the pure elements: -1382 meV/atom
- Mass density: 9.32 g/cm³

```
data_TmPa3P4
_symmetry_space_group_name_H-M 'P 1 2/c 1'
_symmetry_Int_Tables_number 13
_cell_length_a 6.855
_cell_length_b 7.936
_cell_length_c 6.852
_cell_angle_alpha 90.00
_cell_angle_beta 109.57
_cell_angle_gamma 90.00
loop_
_symmetry_equiv_pos_as_xyz
'x,y,z'
'-x,-y,-z'
'-x,y,-z+1/2'
'x,-y,z+1/2'
loop_
_atom_site_label
_atom_site_type_symbol
_atom_site_fract_x
_atom_site_fract_y
_atom_site_fract_z
Tm1 Tm 0.000 0.124 0.250
Pa1 Pa 0.000 0.375 0.750
Pa2 Pa 0.500 0.126 0.750
Pa3 Pa 0.500 0.376 0.250
P1 P 0.248 0.373 0.498
P2 P 0.249 0.124 0.000
```


Compound: SrCu2OsW
Source: the Alexandria database
Functional: GGA-PBE
Structure: optimized geometry

Results
- Magnetization: 1.6 μB/f.u.
- Fermi-level density of states: 0.9485 states/eV/atom
- DFT total energy: -5.913 eV per atom
- Calculated volume: 112.9 Å³/f.u.
- Energy of formation from the pure elements: 899 meV/atom
- Mass density: 8.66 g/cm³

```
data_SrCu2OsW
_symmetry_space_group_name_H-M 'P 4/m m m'
_symmetry_Int_Tables_number 123
_symmetry_space_group_name_Hall '-P 4 2'
_cell_length_a 4.885
_cell_length_b 4.885
_cell_length_c 4.731
_cell_angle_alpha 90.00
_cell_angle_beta 90.00
_cell_angle_gamma 90.00
loop_
_atom_site_label
_atom_site_type_symbol
_atom_site_fract_x
_atom_site_fract_y
_atom_site_fract_z
Sr1 Sr 0.000 0.000 0.000
Cu1 Cu 0.000 0.500 0.500
Os1 Os 0.500 0.500 0.500
W1 W 0.500 0.500 0.000
```


> Look up the mass density of the first one.

6.92 g/cm³


> Which formula does entry 1 have?

CeNdSe2